The following is a DFT calculation (PBE) of a relaxed structure of La4Pr2HoEr.

The value obtained for the density of states at the Fermi level is 12.30 states/eV/cell. The volume is 35.18 Å³ per atom. The calculation puts the formation energy at 15 meV per atom. For the magnetization, the calculation gives 0.00 μB per cell.

abc: 5.254 5.217 11.523
angles: 63.01 90.00 90.00
Atoms (fractional coordinates):
Er: 0.500 0.500 0.000
La: 0.000 0.250 0.250
La: 0.500 0.249 0.751
La: 0.000 0.750 0.750
La: 0.500 0.751 0.249
Pr: 0.000 0.000 0.000
Pr: 0.500 0.000 0.500
Ho: 0.000 0.500 0.500